1.
{"formula": "RbLi2ZnGa", "functional": "PBE-GGA", "state": "relaxed", "lattice_angstrom": [[5.306, 0.000, 0.000], [0.000, 5.306, 0.000], [0.000, 0.000, 4.783]], "species": ["Rb", "Li", "Li", "Zn", "Ga"], "fractional_positions": [[0.000, 0.000, 0.000], [0.000, 0.500, 0.500], [0.500, 0.000, 0.500], [0.500, 0.500, 0.000], [0.500, 0.500, 0.500]], "space_group": "P4/mmm", "energy_ev_per_atom": -1.82, "ef_ev_per_atom": 0.00}

***

2.
{"formula": "SiHg2As", "functional": "PBE-GGA", "state": "relaxed", "lattice_angstrom": [[1.589, 0.917, 11.046], [-1.589, 0.917, 11.046], [0.000, -1.835, 11.046]], "species": ["Si", "Hg", "Hg", "As"], "fractional_positions": [[0.000, 0.000, 0.000], [0.517, 0.517, 0.517], [0.753, 0.753, 0.753], [0.280, 0.280, 0.280]], "raw_formation_energy_ev_per_atom": 0.29, "space_group": "R3m", "energy_ev_per_atom": -2.38}

***

3.
{"formula": "BeZnReC2", "functional": "PBE-GGA", "state": "relaxed", "lattice_angstrom": [[3.965, 0.000, 0.000], [0.000, 3.965, 0.000], [0.000, 0.000, 5.056]], "species": ["Be", "Zn", "Re", "C", "C"], "fractional_positions": [[0.000, 0.000, 0.000], [0.500, 0.500, 0.000], [0.500, 0.500, 0.500], [0.000, 0.500, 0.500], [0.500, 0.000, 0.500]], "space_group": "P4/mmm", "energy_ev_per_atom": -5.54, "ef_ev_per_atom": 1.64}

***

4.
{"formula": "LiNd2PdO5", "functional": "PBE-GGA", "state": "relaxed", "lattice_angstrom": [[6.796, 0.000, 0.000], [0.000, 6.796, 0.000], [0.000, 0.000, 5.822]], "species": ["Li", "Li", "Nd", "Nd", "Nd", "Nd", "Pd", "Pd", "O", "O", "O", "O", "O", "O", "O", "O", "O", "O"], "fractional_positions": [[0.000, 0.000, 0.000], [0.500, 0.500, 0.000], [0.175, 0.325, 0.500], [0.325, 0.825, 0.500], [0.675, 0.175, 0.500], [0.825, 0.675, 0.500], [0.000, 0.500, 0.000], [0.500, 0.000, 0.000], [0.000, 0.000, 0.500], [0.137, 0.637, 0.252], [0.137, 0.637, 0.748], [0.363, 0.137, 0.252], [0.363, 0.137, 0.748], [0.500, 0.500, 0.500], [0.637, 0.863, 0.252], [0.637, 0.863, 0.748], [0.863, 0.363, 0.252], [0.863, 0.363, 0.748]], "raw_formation_energy_ev_per_atom": -2.11, "space_group": "P4/mbm", "energy_ev_per_atom": -6.71}